<A>
Computed, not measured: CeGePt3 after structural relaxation at the PBE level of DFT.

Cell lengths 4.0774, 4.0774, 11.4326 Å; angles 90.00, 90.00, 90.00 degrees
Last column: nearest neighbours and their distance in Å.
Space group I4mm (No. 107)
Asymmetric unit:
Ce 0.0000 0.0000 0.0000  4 Pt 3.00, 4 Ge 3.28
Ge 0.0000 0.0000 0.3631  5 Pt 2.40-2.49
Pt 0.0000 0.0000 0.5729  1 Ge 2.40
Pt 0.0000 0.5000 0.2382  2 Ge 2.49, 2 Pt 2.78

Crystal system: tetragonal
Volume (Å³ per atom): 19.0

<B>
Computed, not measured: CeGePt3 after structural relaxation at the PBE level of DFT.

Cell lengths 5.5218, 7.2530, 5.1273 Å; angles 90.00, 90.00, 90.00 degrees
Last column: nearest neighbours and their distance in Å.
Space group Pbam (No. 55)
Asymmetric unit:
Ce 0.0000 0.0000 0.0000  6 Pt 2.76-2.93
Ge 0.0000 0.5000 0.5000  6 Pt 2.43-2.56
Pt 0.0000 0.5000 0.0000  2 Ge 2.56, 2 Ce 2.76
Pt 0.1096 0.1754 0.5000  2 Ge 2.43-2.50

Crystal system: orthorhombic
Volume (Å³ per atom): 20.5

Energy ordering: <A> at the bottom, the next structure 276 meV/atom above.

<A>
Computed, not measured: Ce2GePt6 after structural relaxation at the PBE level of DFT.

Cell lengths 5.7094, 5.7094, 5.9832 Å; angles 90.00, 90.00, 120.00 degrees
Last column: nearest neighbours and their distance in Å.
Space group P-3m1 (No. 164)
Asymmetric unit:
Ce 0.3333 0.6667 0.1709  9 Pt 2.97-3.28
Ge 0.0000 0.0000 0.0000  6 Pt 2.52
Pt 0.1729 0.3458 0.6903  1 Ge 2.52, 2 Pt 2.75

Crystal system: trigonal
Volume (Å³ per atom): 18.8

<B>
Computed, not measured: Ce2GePt6 after structural relaxation at the PBE level of DFT.

Cell lengths 9.7668, 5.6922, 6.2832 Å; angles 90.00, 103.47, 90.00 degrees
Last column: nearest neighbours and their distance in Å.
Space group C2/m (No. 12)
Asymmetric unit:
Ce 0.1424 0.0000 0.3475  9 Pt 2.98-3.27
Ge 0.0000 0.5000 0.5000  6 Pt 2.49-2.55
Pt 0.1255 0.5000 0.1982  1 Ge 2.49, 2 Pt 2.75
Pt 0.1328 0.2438 0.8142  1 Ge 2.55, 3 Pt 2.75-2.83

Crystal system: monoclinic
Volume (Å³ per atom): 18.9

Energy ordering: <A> at the bottom, the next structure 19 meV/atom above.

<A>
Computed, not measured: Ce2Ge3Pt2 after structural relaxation at the PBE level of DFT.

Cell lengths 4.3281, 18.5863, 7.0422 Å; angles 90.00, 90.00, 90.00 degrees
Last column: nearest neighbours and their distance in Å.
Space group Cmcm (No. 63)
Asymmetric unit:
Ce 0.0000 0.0551 0.2500  9 Ge 3.10-3.33
Ce 0.0000 0.1556 0.7500  6 Ge 3.07-3.14, 6 Pt 3.09-3.16
Ge 0.0000 0.2216 0.2500  6 Pt 2.62-2.65
Ge 0.0000 0.4383 0.0662  2 Ge 2.48-2.59, 1 Pt 2.57
Pt 0.0000 0.3070 0.5463  4 Ge 2.57-2.65, 1 Pt 2.87

Crystal system: orthorhombic
Volume (Å³ per atom): 20.2

<B>
Computed, not measured: Ce2Ge3Pt2 after structural relaxation at the PBE level of DFT.

Cell lengths 10.0824, 4.3517, 6.7314 Å; angles 90.00, 105.69, 90.00 degrees
Last column: nearest neighbours and their distance in Å.
Space group C2/m (No. 12)
Asymmetric unit:
Ce 0.1504 0.0000 0.2922  4 Pt 2.96-3.16, 5 Ge 3.15-3.23
Ge 0.0000 0.5000 0.5000  2 Ge 2.89, 4 Pt 2.95, 4 Ce 3.18
Ge 0.1096 0.5000 0.9432  1 Ge 2.53, 3 Pt 2.58-2.68
Pt 0.1509 0.0000 0.7621  3 Ge 2.58-2.68

Crystal system: monoclinic
Volume (Å³ per atom): 20.3

Energy ordering: <A> at the bottom, the next structure 56 meV/atom above.

<A>
Computed, not measured: CeGe3Pt3 after structural relaxation at the PBE level of DFT.

Cell lengths 6.8343, 6.8343, 6.8343 Å; angles 90.00, 90.00, 90.00 degrees
Last column: nearest neighbours and their distance in Å.
Space group Pm-3n (No. 223)
Asymmetric unit:
Ce 0.0000 0.0000 0.0000  12 Ge 3.82, 12 Pt 3.82
Ge 0.0000 0.2500 0.5000  4 Pt 2.42
Pt 0.0000 0.5000 0.2500  4 Ge 2.42

Crystal system: cubic
Volume (Å³ per atom): 22.8

<B>
Computed, not measured: CeGe3Pt3 after structural relaxation at the PBE level of DFT.

Cell lengths 7.2544, 7.2544, 19.2108 Å; angles 90.00, 90.00, 120.00 degrees
Last column: nearest neighbours and their distance in Å.
Space group R-3 (No. 148, hexagonal axes)
Asymmetric unit:
Ce 0.0000 0.0000 0.1663  6 Ge 3.03-3.04, 6 Pt 3.25-3.26
Ge 0.0013 0.7028 0.4150  4 Pt 2.46-2.61
Pt 0.9996 0.3530 0.3829  4 Ge 2.46-2.61

Crystal system: trigonal
Volume (Å³ per atom): 20.8

Energy ordering: <B> at the bottom, the next structure 142 meV/atom above.

<A>
Computed, not measured: CePuGePt after structural relaxation at the PBE level of DFT.

Cell lengths 7.1553, 7.1553, 7.1553 Å; angles 90.00, 90.00, 90.00 degrees
Last column: nearest neighbours and their distance in Å.
Space group F-43m (No. 216)
Asymmetric unit:
Ce 0.0000 0.0000 0.0000  4 Ge 3.10, 4 Pt 3.10
Pu 0.0000 0.0000 0.5000  4 Ge 3.10, 4 Pt 3.10
Ge 0.2500 0.2500 0.2500  4 Ce 3.10, 4 Pu 3.10
Pt 0.2500 0.2500 0.7500  4 Ce 3.10, 4 Pu 3.10

Crystal system: cubic
Volume (Å³ per atom): 22.9

<B>
Computed, not measured: CePuGePt after structural relaxation at the PBE level of DFT.

Cell lengths 4.1962, 4.1962, 10.6896 Å; angles 90.00, 90.00, 90.00 degrees
Last column: nearest neighbours and their distance in Å.
Space group P4/nmm (No. 129, origin choice 2)
Asymmetric unit:
Ce 0.2500 0.2500 0.2113  1 Ge 2.86, 4 Pt 3.09
Pu 0.2500 0.7500 0.5000  4 Pu 2.97, 4 Pt 3.06
Ge 0.2500 0.2500 0.9434  1 Pt 2.52
Pt 0.2500 0.2500 0.7080  1 Ge 2.52

Crystal system: tetragonal
Volume (Å³ per atom): 23.5

Energy ordering: <A> at the bottom, the next structure 91 meV/atom above.

<A>
Computed, not measured: CeSmGePt after structural relaxation at the PBE level of DFT.

Cell lengths 4.1556, 4.1556, 10.9207 Å; angles 90.00, 90.00, 90.00 degrees
Last column: nearest neighbours and their distance in Å.
Space group P4/nmm (No. 129, origin choice 2)
Asymmetric unit:
Ce 0.2500 0.7500 0.0000  4 Ce 2.94, 4 Pt 3.10
Sm 0.2500 0.2500 0.2922  1 Ge 2.89, 4 Pt 3.07
Ge 0.2500 0.2500 0.5572  1 Pt 2.54
Pt 0.2500 0.2500 0.7897  1 Ge 2.54

Crystal system: tetragonal
Volume (Å³ per atom): 23.6

<B>
Computed, not measured: CeSmGePt after structural relaxation at the PBE level of DFT.

Cell lengths 7.2409, 7.2409, 7.2409 Å; angles 90.00, 90.00, 90.00 degrees
Last column: nearest neighbours and their distance in Å.
Space group F-43m (No. 216)
Asymmetric unit:
Ce 0.0000 0.0000 0.0000  4 Ge 3.14, 4 Pt 3.14
Sm 0.0000 0.0000 0.5000  4 Ge 3.14, 4 Pt 3.14
Ge 0.2500 0.2500 0.7500  4 Ce 3.14, 4 Sm 3.14
Pt 0.2500 0.2500 0.2500  4 Ce 3.14, 4 Sm 3.14

Crystal system: cubic
Volume (Å³ per atom): 23.7

Energy ordering: <B> at the bottom, the next structure 143 meV/atom above.

<A>
Computed, not measured: CeTmGePt after structural relaxation at the PBE level of DFT.

Cell lengths 7.1259, 7.1259, 7.1259 Å; angles 90.00, 90.00, 90.00 degrees
Last column: nearest neighbours and their distance in Å.
Space group F-43m (No. 216)
Asymmetric unit:
Ce 0.0000 0.0000 0.0000  4 Pt 3.09, 4 Ge 3.09
Tm 0.0000 0.0000 0.5000  4 Ge 3.09, 4 Pt 3.09
Ge 0.2500 0.2500 0.2500  4 Ce 3.09, 4 Tm 3.09
Pt 0.2500 0.2500 0.7500  4 Ce 3.09, 4 Tm 3.09

Crystal system: cubic
Volume (Å³ per atom): 22.6

<B>
Computed, not measured: CeTmGePt after structural relaxation at the PBE level of DFT.

Cell lengths 4.5178, 4.5178, 10.4031 Å; angles 90.00, 90.00, 90.00 degrees
Last column: nearest neighbours and their distance in Å.
Space group P4/nmm (No. 129, origin choice 2)
Asymmetric unit:
Ce 0.2500 0.2500 0.1628  1 Ge 2.85
Tm 0.2500 0.7500 0.5000  4 Pt 2.78
Ge 0.2500 0.2500 0.8891  1 Pt 2.42
Pt 0.2500 0.2500 0.6565  1 Ge 2.42

Crystal system: tetragonal
Volume (Å³ per atom): 26.5

Energy ordering: <A> at the bottom, the next structure 134 meV/atom above.

<A>
Computed, not measured: Ce3PuGe2 after structural relaxation at the PBE level of DFT.

Cell lengths 9.3016, 8.7295, 7.4095 Å; angles 90.00, 105.60, 90.00 degrees
Last column: nearest neighbours and their distance in Å.
Space group C2/c (No. 15)
Asymmetric unit:
Ce 0.0000 0.0314 0.2500  1 Pu 2.86, 2 Ge 3.04
Ce 0.1530 0.4235 0.9674  2 Pu 2.65-2.89
Pu 0.0000 0.3585 0.2500  5 Ce 2.65-2.89
Ge 0.1706 0.2267 0.6240  1 Ge 2.68

Crystal system: monoclinic
Volume (Å³ per atom): 24.1

<B>
Computed, not measured: Ce3PuGe2 after structural relaxation at the PBE level of DFT.

Cell lengths 7.7012, 7.7012, 18.3148 Å; angles 90.00, 90.00, 120.00 degrees
Last column: nearest neighbours and their distance in Å.
Space group R-3c (No. 167, hexagonal axes)
Asymmetric unit:
Ce 0.0000 0.3492 0.2500  2 Pu 2.94, 4 Ge 3.00-3.03
Pu 0.0000 0.0000 0.0000  6 Ce 2.94, 2 Ge 3.18
Ge 0.0000 0.0000 0.1736  1 Ge 2.80, 6 Ce 3.00-3.03

Crystal system: trigonal
Volume (Å³ per atom): 26.1

Energy ordering: <A> at the bottom, the next structure 56 meV/atom above.